# 1
Compound: PmGdMgSb
Source: Alexandria via LeMat-Bulk
Functional: GGA-PBE
Structure: optimized geometry

```
PmGdMgSb
1.0
5.392 0.000 0.000
2.696 4.670 0.000
2.696 1.557 4.403
Pm Mg Gd Sb
1 1 1 1
direct
0.250 0.250 0.250
0.500 0.500 0.500
0.750 0.750 0.750
0.000 0.000 0.000
```

DOS at the Fermi energy in states/eV/f.u.: 4.54
Space-group type: F-43m (216)

=====

# 2
Compound: PmGdMgSi
Source: Alexandria via LeMat-Bulk
Functional: GGA-PBE
Structure: optimized geometry

```
PmGdMgSi
1.0
5.170 0.000 0.000
2.585 4.477 0.000
2.585 1.492 4.221
Si Pm Gd Mg
1 1 1 1
direct
0.750 0.750 0.750
0.000 0.000 0.000
0.500 0.500 0.500
0.250 0.250 0.250
```

DOS at the Fermi energy in states/eV/f.u.: 3.07
Space-group type: F-43m (216)

=====

# 3
Compound: PmGdMgSn
Source: Alexandria via LeMat-Bulk
Functional: GGA-PBE
Structure: optimized geometry

```
PmGdMgSn
1.0
-0.256 -4.309 -3.206
4.488 -2.674 -1.274
0.870 -4.908 2.017
Mg Pm Gd Sn
1 1 1 1
direct
0.750 0.750 0.750
0.000 0.000 0.000
0.500 0.500 0.500
0.250 0.250 0.250
```

DOS at the Fermi energy in states/eV/f.u.: 3.94
Space-group type: F-43m (216)
Formation energy from the elements in eV per atom: -0.433

=====

# 4
Compound: SrPmGdMg
Source: Alexandria via LeMat-Bulk
Functional: GGA-PBE
Structure: optimized geometry

```
SrPmGdMg
1.0
5.792 0.000 0.000
2.896 5.016 0.000
2.896 1.672 4.729
Pm Gd Mg Sr
1 1 1 1
direct
0.250 0.250 0.250
0.500 0.500 0.500
0.000 0.000 0.000
0.750 0.750 0.750
```

DOS at the Fermi energy in states/eV/f.u.: 5.16
Space-group type: F-43m (216)
Formation energy from the elements in eV per atom: 0.143

=====

# 5
Compound: TbPmGdMg
Source: Alexandria via LeMat-Bulk
Functional: GGA-PBE
Structure: optimized geometry

```
TbPmGdMg
1.0
-1.236 -1.260 -5.275
-4.145 -3.537 -1.117
-4.718 1.874 -2.275
Mg Tb Gd Pm
1 1 1 1
direct
0.000 0.000 0.000
0.250 0.250 0.250
0.750 0.750 0.750
0.500 0.500 0.500
```

DOS at the Fermi energy in states/eV/f.u.: 5.02
Space-group type: F-43m (216)
Formation energy from the elements in eV per atom: 0.062

=====

# 6
Compound: PmGdMgTc
Source: Alexandria via LeMat-Bulk
Functional: GGA-PBE
Structure: optimized geometry

```
PmGdMgTc
1.0
5.112 0.000 0.000
2.556 4.428 0.000
2.556 1.476 4.174
Mg Gd Tc Pm
1 1 1 1
direct
0.250 0.250 0.250
0.500 0.500 0.500
0.750 0.750 0.750
0.000 0.000 0.000
```

DOS at the Fermi energy in states/eV/f.u.: 2.42
Space-group type: F-43m (216)
Formation energy from the elements in eV per atom: 0.049

=====

# 7
Compound: PmGdThMg
Source: Alexandria via LeMat-Bulk
Functional: GGA-PBE
Structure: optimized geometry

```
PmGdThMg
1.0
5.575 0.000 0.000
2.787 4.828 0.000
2.787 1.609 4.552
Pm Th Mg Gd
1 1 1 1
direct
0.750 0.750 0.750
0.250 0.250 0.250
0.000 0.000 0.000
0.500 0.500 0.500
```

DOS at the Fermi energy in states/eV/f.u.: 6.50
Space-group type: F-43m (216)
Formation energy from the elements in eV per atom: 0.098

=====

# 8
Compound: PmGdMgTi
Source: Alexandria via LeMat-Bulk
Functional: GGA-PBE
Structure: optimized geometry

```
PmGdMgTi
1.0
5.314 0.000 0.000
2.657 4.602 0.000
2.657 1.534 4.339
Ti Mg Pm Gd
1 1 1 1
direct
0.250 0.250 0.250
0.750 0.750 0.750
0.000 0.000 0.000
0.500 0.500 0.500
```

DOS at the Fermi energy in states/eV/f.u.: 6.45
Space-group type: F-43m (216)
Formation energy from the elements in eV per atom: 0.142

=====

# 9
Compound: PmGdTmMg
Source: Alexandria via LeMat-Bulk
Functional: GGA-PBE
Structure: optimized geometry

```
PmGdTmMg
1.0
-5.524 -0.020 -0.275
-2.980 -1.616 4.370
-2.925 3.709 2.877
Pm Tm Gd Mg
1 1 1 1
direct
0.750 0.750 0.750
0.500 0.500 0.500
0.250 0.250 0.250
0.000 0.000 0.000
```

DOS at the Fermi energy in states/eV/f.u.: 4.69
Space-group type: F-43m (216)
Formation energy from the elements in eV per atom: 0.016

=====

# 10
Compound: PrGd2Mg
Source: Alexandria via LeMat-Bulk
Functional: GGA-PBE
Structure: optimized geometry

```
PrGd2Mg
1.0
-2.234 0.326 -2.892
-2.521 -2.039 1.717
-3.683 7.676 3.708
Gd Mg Pr
2 1 1
direct
0.000 0.000 0.773
0.000 0.000 0.227
0.500 0.500 0.000
0.500 0.500 0.500
```

DOS at the Fermi energy in states/eV/f.u.: 5.61
Space-group type: P4/mmm (123)
Excess energy over the best structure of this formula in the dataset in eV/atom: 0.0000
Formation energy from the elements in eV per atom: -0.037

=====

# 11
Compound: PrGd2Mg
Source: Alexandria via LeMat-Bulk
Functional: GGA-PBE
Structure: optimized geometry

```
PrGd2Mg
1.0
5.592 0.000 0.000
2.796 4.843 0.000
2.796 1.614 4.566
Mg Gd Pr
1 2 1
direct
0.500 0.500 0.500
0.750 0.750 0.750
0.250 0.250 0.250
0.000 0.000 0.000
```

DOS at the Fermi energy in states/eV/f.u.: 6.26
Space-group type: Fm-3m (225)
Excess energy over the best structure of this formula in the dataset in eV/atom: 0.0937
Formation energy from the elements in eV per atom: 0.057

=====

# 12
Compound: PrGd2Mg
Source: Alexandria via LeMat-Bulk
Functional: GGA-PBE
Structure: optimized geometry

```
PrGd2Mg
1.0
3.505 0.000 0.000
1.753 3.035 0.000
1.753 1.012 12.426
Pr Gd Mg
1 2 1
direct
0.500 0.500 0.500
0.088 0.088 0.736
0.912 0.912 0.264
0.000 0.000 0.000
```

DOS at the Fermi energy in states/eV/f.u.: 5.03
Space-group type: R-3m (166)
Excess energy over the best structure of this formula in the dataset in eV/atom: 0.2472
Formation energy from the elements in eV per atom: 0.210

=====

Calculated DFT total energy in order - -6.5894 -6.7555 -6.5403 -5.3836 -6.2019 -7.6488 -6.8637 -6.9384 -6.2084 -8.6710 -8.5773 -8.4238 eV/atom